Entry w
A geometry-optimized Co3IBr structure. Source: Alexandria via LeMat-Bulk, functional PBE.

Cell: 4.5982 4.5982 4.5982 Å, 90.00 90.00 90.00°
Last column: nearest neighbours and their distance in Å.
Space group Pm-3m (No. 221)
Symmetry-distinct sites (fractional):
Co 0.0000 0.0000 0.5000  2 Br 2.30
I 0.5000 0.5000 0.5000  12 Co 3.25
Br 0.0000 0.0000 0.0000  6 Co 2.30

M_tot   1.0003 μB per atom

Entry x
A geometry-optimized Co3IBr structure. Source: Alexandria via LeMat-Bulk, functional PBE.

Cell: 4.8159 4.8159 4.8159 Å, 90.00 90.00 90.00°
Last column: nearest neighbours and their distance in Å.
Space group Pm-3m (No. 221)
Symmetry-distinct sites (fractional):
Co 0.0000 0.0000 0.5000  2 I 2.41
I 0.0000 0.0000 0.0000  6 Co 2.41
Br 0.5000 0.5000 0.5000  12 Co 3.41

M_tot   1.0000 μB per atom

Ranking the structures above from most stable to least stable yields entry w, entry x.